Computed, not measured: a relaxed LaMg6C crystal at the PBE-GGA level of DFT.

Properties
DFT formation energy = 356 meV per atom

a = 7.427 Å, b = 7.427 Å, c = 4.674 Å
α = 90.00°, β = 90.00°, γ = 135.60°
Element x y z (fractional)
La1 0.803 0.197 0.500
Mg1 0.796 0.700 0.500
Mg2 0.300 0.204 0.500
Mg3 0.658 0.816 0.000
Mg4 0.184 0.342 0.000
Mg5 0.640 0.360 0.000
Mg6 0.209 0.791 0.000
C1 0.411 0.589 0.500